The following is a PBE with a Hubbard U calculation of a relaxed structure of K2NiRuO4, from Alexandria.

Output
- Magnetic moment: 0.6 μB per cell
- DOS at the Fermi energy: 4.024 states/eV per cell
- Volume: 15.78 Å³/atom
- VASP energy: -83.8 eV for the cell shown

a b c (Å): 6.056 6.056 6.887
angles (deg): 90.00 90.00 90.00
Space group I-4 (No. 82)
Unique sites:
K1 0.000 0.000 0.000 (multiplicity 2)
K2 0.000 0.500 0.250 (multiplicity 2)
Ni1 0.000 0.000 0.500 (multiplicity 2)
Ru1 0.000 0.500 0.750 (multiplicity 2)
O1 0.138 0.256 0.634 (multiplicity 8)